TaSiNi: relaxed, PBE-GGA.

## Properties
Calculated volume: 168 Å³/cell
Formation energy without anion corrections: -405 meV/atom
Electronic total energy: -97.1 eV per cell
Total magnetic moment: 0.00 μB per formula unit
D(E_F): 1.09 states/eV/f.u.

Cell: 5.054 3.671 9.875 Å, 90.00 113.55 90.00°
Fractional coordinates of all 12 atoms:
Ni  0.985  0.000  0.952
Ni  0.985  0.500  0.452
Ni  0.386  0.000  0.561
Ni  0.386  0.500  0.061
Si  0.538  0.000  0.975
Si  0.538  0.500  0.475
Si  0.067  0.000  0.336
Si  0.067  0.500  0.836
Ta  0.522  0.000  0.265
Ta  0.522  0.500  0.765
Ta  0.947  0.000  0.643
Ta  0.947  0.500  0.143